Entry 1:
Compound: CeHfH
Source: Alexandria
Functional: PBE
Structure: relaxed

The calculation puts the density of states at the Fermi level at 1.354 states/eV per atom. For the calculated total energy, the calculation gives -0.4813 Ry per atom. The calculated volume is 51.34 Å³ per cell.

It has space group P3m1 (No. 156), with a = 3.2285 Å, b = 3.2285 Å, c = 5.6872 Å, α = 90.00°, β = 90.00° and γ = 120.00°. The inequivalent atoms are Ce at (0.0000, 0.0000, 0.0000), Hf at (0.6667, 0.3333, 0.4882) and H at (0.3333, 0.6667, 0.6874).

---

Entry 2:
Compound: CeHf2H
Source: Alexandria
Functional: PBE
Structure: relaxed

As for the distance to the lowest polymorph of the same formula: 0.0 meV/atom. The calculation puts the density of states at the Fermi level at 1.340 states/eV per atom. The calculated volume is 217.44 Å³ per cell.

It has space group R-3m (No. 166, hexagonal axes), with a = 3.1267 Å, b = 3.1267 Å, c = 25.6830 Å, α = 90.00°, β = 90.00° and γ = 120.00°. The inequivalent atoms are Ce at (0.0000, 0.0000, 0.0000), Hf at (0.0000, 0.0000, 0.1162) and H at (0.0000, 0.0000, 0.5000).

---

Entry 3:
Compound: Ce3Hf5H12
Source: Alexandria
Functional: PBE
Structure: relaxed

The calculation puts the density of states at the Fermi level at 0.794 states/eV per atom. For the calculated total energy, the calculation gives -0.4228 Ry per atom. The calculated volume is 1907.87 Å³ per cell.

It has space group Ia-3d (No. 230), with a = 12.4027 Å, b = 12.4027 Å, c = 12.4027 Å, α = 90.00°, β = 90.00° and γ = 90.00°. The inequivalent atoms are Ce at (0.0000, 0.2500, 0.1250), Hf at (0.0000, 0.0000, 0.0000), Hf at (0.0000, 0.2500, 0.3750) and H at (0.0141, 0.0652, 0.6491).

---

Entry 4:
Compound: CeHfH4
Source: Alexandria
Functional: PBE
Structure: relaxed

As for the distance to the lowest polymorph of the same formula: 0.0 meV/atom. The calculation puts the density of states at the Fermi level at 0.934 states/eV per atom. The calculated volume is 63.38 Å³ per cell.

It has space group P4/mmm (No. 123), with a = 3.4063 Å, b = 3.4063 Å, c = 5.4625 Å, α = 90.00°, β = 90.00° and γ = 90.00°. The inequivalent atoms are Ce at (0.0000, 0.0000, 0.0000), Hf at (0.5000, 0.5000, 0.5000) and H at (0.0000, 0.5000, 0.2921).

---

Entry 5:
Compound: Ce2HfH
Source: Alexandria
Functional: PBE
Structure: relaxed

As for the distance to the lowest polymorph of the same formula: 0.0 meV/atom. The calculation puts the density of states at the Fermi level at 2.034 states/eV per atom. The calculated volume is 78.97 Å³ per cell.

It has space group P4/mmm (No. 123), with a = 3.1634 Å, b = 3.1634 Å, c = 7.8921 Å, α = 90.00°, β = 90.00° and γ = 90.00°. The inequivalent atoms are Ce at (0.0000, 0.0000, 0.1822), Hf at (0.5000, 0.5000, 0.5000) and H at (0.5000, 0.5000, 0.0000).

---

Entry 6:
Compound: CeHf2H
Source: Alexandria
Functional: PBE
Structure: relaxed

As for the distance to the lowest polymorph of the same formula: 244.0 meV/atom. The calculation puts the density of states at the Fermi level at 1.546 states/eV per atom. The calculated volume is 73.75 Å³ per cell.

It has space group P4/mmm (No. 123), with a = 3.0197 Å, b = 3.0197 Å, c = 8.0886 Å, α = 90.00°, β = 90.00° and γ = 90.00°. The inequivalent atoms are Ce at (0.0000, 0.0000, 0.0000), Hf at (0.5000, 0.5000, 0.3211) and H at (0.0000, 0.0000, 0.5000).

---

Entry 7:
Compound: Ce2HfH
Source: Alexandria
Functional: PBE
Structure: relaxed

As for the distance to the lowest polymorph of the same formula: 38.6 meV/atom. The calculation puts the density of states at the Fermi level at 1.926 states/eV per atom. The calculated volume is 234.59 Å³ per cell.

It has space group R-3m (No. 166, hexagonal axes), with a = 3.1321 Å, b = 3.1321 Å, c = 27.6132 Å, α = 90.00°, β = 90.00° and γ = 120.00°. The inequivalent atoms are Ce at (0.0000, 0.0000, 0.1076), Hf at (0.0000, 0.0000, 0.0000) and H at (0.0000, 0.0000, 0.5000).

---

Entry 8:
Compound: CeHfH2
Source: Alexandria
Functional: PBE
Structure: relaxed

As for the distance to the lowest polymorph of the same formula: 0.0 meV/atom. The calculation puts the density of states at the Fermi level at 0.936 states/eV per atom. The calculated volume is 156.64 Å³ per cell.

It has space group R-3m (No. 166, hexagonal axes), with a = 3.1612 Å, b = 3.1612 Å, c = 18.0998 Å, α = 90.00°, β = 90.00° and γ = 120.00°. The inequivalent atoms are Ce at (0.0000, 0.0000, 0.0000), Hf at (0.0000, 0.0000, 0.5000) and H at (0.0000, 0.0000, 0.2284).

---

> Number 6 is which compound?

CeHf2H

---

> What is the calculated volume in the eighth record?

156.64 Å³ per cell

---

> What is the formula in the first record?

CeHfH

---

> Among the records above, which one has the highest calculated volume?

Ce3Hf5H12